Entry 1:
This record from Alexandria via LeMat-Bulk describes a relaxed structure of Mo3CSe. The functional is GGA-PBE.

Computed properties:
energy relative to the elements, uncorrected: 0.46 eV per atom
N(E_F): 6.863 states/eV/f.u.

a = 4.2001 Å, b = 4.2001 Å, c = 4.2001 Å
α = 90.00°, β = 90.00°, γ = 90.00°
Closest atoms and distances in Å follow each position.
Space group Pm-3m (No. 221)
Inequivalent atoms, fractional coordinates:
Mo 0.0000 0.0000 0.5000  2 C 2.10
C 0.0000 0.0000 0.0000  6 Mo 2.10
Se 0.5000 0.5000 0.5000  12 Mo 2.97

***

Entry 2:
This record from Alexandria via LeMat-Bulk describes a relaxed structure of LiCaAuSe. The functional is GGA-PBE.

Computed properties:
energy relative to the elements, uncorrected: -0.99 eV per atom
N(E_F): 0.086 states/eV/f.u.

a = 7.0253 Å, b = 7.0253 Å, c = 7.0253 Å
α = 90.00°, β = 90.00°, γ = 90.00°
Closest atoms and distances in Å follow each position.
Space group F-43m (No. 216)
Inequivalent atoms, fractional coordinates:
Li 0.0000 0.0000 0.0000  4 Se 3.04, 4 Au 3.04
Ca 0.0000 0.0000 0.5000  4 Au 3.04, 4 Se 3.04
Au 0.2500 0.2500 0.2500  4 Li 3.04, 4 Ca 3.04
Se 0.2500 0.2500 0.7500  4 Li 3.04, 4 Ca 3.04

***

Entry 3:
This record from Alexandria via LeMat-Bulk describes a relaxed structure of LiCd2Ni. The functional is GGA-PBE.

Computed properties:
ΔH_f (0 K): -0.048 eV per atom
N(E_F): 2.001 states/eV/f.u.

a = 2.8856 Å, b = 4.4603 Å, c = 5.2204 Å
α = 90.00°, β = 101.16°, γ = 90.00°
Closest atoms and distances in Å follow each position.
Space group Pm (No. 6)
Inequivalent atoms, fractional coordinates:
Li 0.0000 0.0000 0.0000  2 Ni 2.64, 7 Cd 2.70-2.87, 2 Li 2.89
Cd 0.4066 0.5000 0.8101  3 Ni 2.77-2.80, 4 Li 2.79-2.87, 4 Cd 2.89-3.07
Cd 0.6411 0.0000 0.4505  3 Li 2.70-2.85, 4 Ni 2.78-2.83, 2 Cd 2.89
Ni 0.0598 0.5000 0.2744  2 Li 2.64, 7 Cd 2.77-2.83, 2 Ni 2.89

***

Entry 4:
This record from Alexandria via LeMat-Bulk describes a relaxed structure of Ca2MnP. The functional is GGA-PBE.

Computed properties:
ΔH_f (0 K): -0.207 eV per atom
N(E_F): 2.191 states/eV/f.u.

a = 3.7692 Å, b = 3.7692 Å, c = 6.4222 Å
α = 90.00°, β = 90.00°, γ = 90.00°
Closest atoms and distances in Å follow each position.
Space group P4/mmm (No. 123)
Inequivalent atoms, fractional coordinates:
Ca 0.0000 0.0000 0.2239  1 Ca 2.88, 4 P 3.03, 4 Mn 3.20
Mn 0.5000 0.5000 0.5000  8 Ca 3.20, 2 P 3.21
P 0.5000 0.5000 0.0000  8 Ca 3.03, 2 Mn 3.21

***

Entry 5:
This record from Alexandria via LeMat-Bulk describes a relaxed structure of Ho2TeO3. The functional is GGA-PBE.

Computed properties:
energy relative to the elements, uncorrected: -2.80 eV per atom
N(E_F): 0.919 states/eV/f.u.

a = 12.5179 Å, b = 3.8377 Å, c = 9.6136 Å
α = 90.00°, β = 115.49°, γ = 90.00°
Closest atoms and distances in Å follow each position.
Space group C2/m (No. 12)
Inequivalent atoms, fractional coordinates:
Ho 0.0239 0.0000 0.2671  4 O 2.19-2.34
Ho 0.1590 0.5000 0.0592  7 O 2.25-2.46
Te 0.1341 0.5000 0.5776  1 O 2.10
O 0.0193 0.5000 0.1534  4 Ho 2.20-2.29
O 0.1548 0.0000 0.9206  4 Ho 2.19-2.32
O 0.1985 0.0000 0.2347  1 Te 2.10, 1 Ho 2.34

***

Entry 6:
This record from Alexandria via LeMat-Bulk describes a relaxed structure of NdUBi2. The functional is GGA-PBE.

Computed properties:
ΔH_f (0 K): 0.138 eV per atom
N(E_F): 7.439 states/eV/f.u.

a = 3.4041 Å, b = 3.4041 Å, c = 36.5169 Å
α = 90.00°, β = 90.00°, γ = 120.00°
Closest atoms and distances in Å follow each position.
Space group R-3m (No. 166, hexagonal axes)
Inequivalent atoms, fractional coordinates:
Nd 0.0000 0.0000 0.0000  2 Bi 3.31, 6 Nd 3.40
U 0.0000 0.0000 0.5000  6 Bi 3.40, 6 U 3.40
Bi 0.0000 0.0000 0.0906  1 Nd 3.31, 3 U 3.40, 6 Bi 3.40

***

- What is the N(E_F) in the third record?
  2.001 states/eV/f.u.

***

- Which value of N(E_F) does entry 2 give?
  0.086 states/eV/f.u.

***

- Number 3 is which compound?
  LiCd2Ni